Density functional theory data (PBEsol) for crystalline Na6Bi2B4PO16 at its relaxed geometry.

Lattice parameters (Å, degrees): 14.3103 14.3103 14.3103 90.00 90.00 90.00
Last column: nearest neighbours and their distance in Å.
Space group Fd-3 (No. 203, origin choice 2)
Symmetry-distinct sites (fractional):
Na 0.0771 0.3750 0.3750 (multiplicity 48)  6 O 2.36-2.52
Bi 0.0000 0.0000 0.5000 (multiplicity 16)  6 O 2.21
B 0.0312 0.0312 0.7188 (multiplicity 32)  3 O 1.38
P 0.1250 0.1250 0.1250 (multiplicity 8)  4 O 1.55
O 0.0242 0.1014 0.7850 (multiplicity 96)  1 B 1.38
O 0.0623 0.0623 0.0623 (multiplicity 32)  1 P 1.55

The calculation puts the density of states at the Fermi level at 142.96 states/eV/cell. The uncorrected formation energy comes out at -55.8 eV/f.u.

---

Density functional theory data (PBEsol) for crystalline Cs2BeF4 at its relaxed geometry.

Lattice parameters (Å, degrees): 8.0618 6.0797 10.6238 90.00 90.00 90.00
Last column: nearest neighbours and their distance in Å.
Space group Pnma (No. 62)
Symmetry-distinct sites (fractional):
Cs 0.0152 0.2500 0.1883 (multiplicity 4)  9 F 2.93-3.22
Cs 0.1629 0.7500 0.4049 (multiplicity 4)  10 F 3.08-3.31, 1 Be 3.39
Be 0.2423 0.7500 0.0829 (multiplicity 4)  4 F 1.56-1.57
F 0.0492 0.7500 0.0913 (multiplicity 4)  1 Be 1.56
F 0.1881 0.0394 0.6494 (multiplicity 8)  1 Be 1.57
F 0.1953 0.2500 0.4428 (multiplicity 4)  1 Be 1.57

The calculation puts the density of states at the Fermi level at 0.00 states/eV/cell. The uncorrected formation energy comes out at -21.6 eV/f.u.